This record from Alexandria describes crystalline FeAsSe2 at its relaxed geometry. The functional is GGA-PBE.

Calculated values
Symmetry = P4/mmm, No. 123
Energy relative to the elements, uncorrected = 0.3263 eV per atom

Cell: 3.1899 3.1899 6.8645 Å, 90.00 90.00 90.00°
Positions (direct):
Se 0.0000 0.0000 0.5351
As 0.5000 0.5000 0.2500
Se 0.0000 0.0000 0.9649
Fe 0.5000 0.5000 0.7500

***

This record from Alexandria describes crystalline TbZnPdPb at its relaxed geometry. The functional is GGA-PBE.

Calculated values
Symmetry = F-43m, No. 216
ΔE_f = -0.474 eV per atom

Cell: 4.9274 4.9274 4.9274 Å, 60.00 60.00 60.00°
Positions (direct):
Zn 0.0000 0.0000 0.0000
Pd 0.5000 0.5000 0.5000
Tb 0.7500 0.7500 0.7500
Pb 0.2500 0.2500 0.2500

***

This record from Alexandria describes crystalline Ho3Ge4Ir2 at its relaxed geometry. The functional is GGA-PBE.

Calculated values
Energy above the most stable polymorph in this dataset = 0 meV per atom
Symmetry = C2/m, No. 12
ΔE_f = -0.826 eV per atom

Cell: 4.2953 5.7852 8.1755 Å, 107.72 90.00 111.79°
Positions (direct):
Ho 0.0000 0.0000 0.0000
Ge 0.7082 0.4164 0.0733
Ir 0.3124 0.6248 0.6326
Ho 0.6258 0.2517 0.6976
Ir 0.6876 0.3752 0.3674
Ge 0.0848 0.1697 0.3971
Ho 0.3742 0.7483 0.3024
Ge 0.2918 0.5836 0.9267
Ge 0.9152 0.8303 0.6029

***

This record from Alexandria describes crystalline Cs6K8O at its relaxed geometry. The functional is GGA-PBE.

Calculated values
Symmetry = R-3, No. 148
Energy relative to the elements, uncorrected = -0.1815 eV per atom

Cell: 11.1433 11.1433 11.1433 Å, 72.69 72.69 72.69°
Positions (direct):
Cs 0.4749 0.6180 0.1621
K 0.7522 0.9776 0.0764
K 0.2478 0.0224 0.9236
O 0.0000 0.0000 0.0000
K 0.2433 0.2433 0.2433
Cs 0.3820 0.8379 0.5251
K 0.9236 0.2478 0.0224
K 0.7567 0.7567 0.7567
Cs 0.8379 0.5251 0.3820
Cs 0.1621 0.4749 0.6180
K 0.0224 0.9236 0.2478
K 0.0764 0.7522 0.9776
Cs 0.5251 0.3820 0.8379
K 0.9776 0.0764 0.7522
Cs 0.6180 0.1621 0.4749

***

This record from Alexandria describes crystalline RbSr2Zr2 at its relaxed geometry. The functional is GGA-PBE.

Calculated values
Energy above the most stable polymorph in this dataset = 522 meV per atom
Symmetry = I4/mmm, No. 139
ΔE_f = 0.998 eV per atom

Cell: 5.5488 5.5488 8.4351 Å, 70.80 70.80 90.00°
Positions (direct):
Zr 0.5789 0.5789 0.8423
Sr 0.7500 0.2500 0.5000
Rb 0.0000 0.0000 0.0000
Zr 0.4211 0.4211 0.1577
Sr 0.2500 0.7500 0.5000

***

Raw total energy per entry: -4.69; -4.18; -6.37; -1.44; -3.29 eV per atom